Below is a relaxed ZrAlSe2 crystal, with properties calculated at the PBE level.

Values from the calculation:
calculated volume: 20.071 Å³/atom
calculated density: 5.71 Mg/m³
magnetization: 0.00 μB per formula unit
crystal system: tetragonal
space group: P4mm (99)
ΔE_f (raw): -0.67 eV per atom

a = 3.8010 Å, b = 3.8010 Å, c = 5.5569 Å
α = 90.00°, β = 90.00°, γ = 90.00°
Element x y z (fractional)
Se1 0.5000 0.5000 0.3037
Al1 0.5000 0.5000 0.8230
Se2 0.0000 0.0000 0.9362
Zr1 0.0000 0.0000 0.4371